A plane-wave DFT calculation with PBE was carried out for HoMn9B4 after structural relaxation.

Values from the calculation:
DOS at the Fermi energy   0.665 states/eV per atom
Symmetry   I4/mcm
Formation energy   -1.413 eV/f.u.
Total energy   -8.230 eV per atom

a b c (Å): 7.2835 7.2835 7.6287
angles (deg): 118.51 118.51 90.00
Last column: nearest neighbours and their distance in Å.
Positions (direct):
Ho 0.7500 0.7500 0.5000  16 Mn 2.95-3.18, 8 B 3.05
Ho 0.2500 0.2500 0.5000  16 Mn 2.95-3.18, 8 B 3.05
Mn 0.0810 0.1872 0.0000  3 Mn 2.10-2.35, 2 B 2.35
Mn 0.9190 0.8128 0.0000  3 Mn 2.10-2.35, 2 B 2.35
Mn 0.5810 0.3128 0.0000  3 Mn 2.10-2.35, 2 B 2.35
Mn 0.4190 0.6872 0.0000  3 Mn 2.10-2.35, 2 B 2.35
Mn 0.3128 0.4190 0.0000  3 Mn 2.10-2.35, 2 B 2.35
Mn 0.6872 0.5810 0.0000  3 Mn 2.10-2.35, 2 B 2.35
Mn 0.1872 0.9190 0.0000  3 Mn 2.10-2.35, 2 B 2.35
Mn 0.8128 0.0810 0.0000  3 Mn 2.10-2.35, 2 B 2.35
Mn 0.0000 0.5000 0.0000  4 B 2.23, 8 Mn 2.35-2.45
Mn 0.5000 0.0000 0.0000  4 B 2.23, 8 Mn 2.35-2.45
Mn 0.8133 0.3133 0.3622  4 B 2.17-2.26
Mn 0.5490 0.0490 0.3622  4 B 2.17-2.26
Mn 0.9510 0.1867 0.6378  4 B 2.17-2.26
Mn 0.6867 0.4510 0.6378  4 B 2.17-2.26
Mn 0.1867 0.6867 0.6378  4 B 2.17-2.26
Mn 0.4510 0.9510 0.6378  4 B 2.17-2.26
Mn 0.3133 0.5490 0.3622  4 B 2.17-2.26
Mn 0.0490 0.8133 0.3622  4 B 2.17-2.26
B 0.2930 0.7930 0.2554  7 Mn 2.17-2.35
B 0.9624 0.4624 0.2554  7 Mn 2.17-2.35
B 0.5376 0.7070 0.7446  7 Mn 2.17-2.35
B 0.2070 0.0376 0.7446  7 Mn 2.17-2.35
B 0.7070 0.2070 0.7446  7 Mn 2.17-2.35
B 0.0376 0.5376 0.7446  7 Mn 2.17-2.35
B 0.7930 0.9624 0.2554  7 Mn 2.17-2.35
B 0.4624 0.2930 0.2554  7 Mn 2.17-2.35

A plane-wave DFT calculation with PBE was carried out for TbMnSi2Rh after structural relaxation.

Values from the calculation:
DOS at the Fermi energy   0.753 states/eV per atom
Symmetry   I-4m2
Raw formation energy   -0.84 eV/atom
Total energy   -7.244 eV per atom

a b c (Å): 3.9994 3.9994 5.8354
angles (deg): 110.04 110.04 90.00
Last column: nearest neighbours and their distance in Å.
Positions (direct):
Tb 0.0000 0.0000 0.0000  8 Si 3.07, 4 Mn 3.24, 4 Rh 3.24
Mn 0.2500 0.7500 0.5000  4 Si 2.41
Si 0.6182 0.6182 0.2364  2 Mn 2.41, 2 Rh 2.41, 1 Si 2.41
Si 0.3818 0.3818 0.7636  2 Mn 2.41, 2 Rh 2.41, 1 Si 2.41
Rh 0.7500 0.2500 0.5000  4 Si 2.41

A plane-wave DFT calculation with PBE was carried out for KLiCr2 after structural relaxation.

Values from the calculation:
DOS at the Fermi energy   0.605 states/eV per atom
Symmetry   P4/mmm
Formation energy   4.189 eV/f.u.
Total energy   -4.517 eV per atom

a b c (Å): 3.3740 3.3740 8.8808
angles (deg): 90.00 90.00 90.00
Last column: nearest neighbours and their distance in Å.
Positions (direct):
Cr 0.0000 0.0000 0.9295  4 Li 2.87, 1 Cr 3.19
Cr 0.0000 0.0000 0.5705  4 Li 2.87, 1 Cr 3.19
K 0.5000 0.5000 0.2500  4 K 3.37, 8 Cr 3.71
Li 0.5000 0.5000 0.7500  8 Cr 2.87

A plane-wave DFT calculation with PBE was carried out for CaPr14Dy after structural relaxation.

Values from the calculation:
DOS at the Fermi energy   1.694 states/eV per atom
Symmetry   Amm2
Formation energy   0.648 eV/f.u.
Total energy   -4.554 eV per atom

a b c (Å): 7.4785 7.4785 12.0315
angles (deg): 90.00 90.00 119.83
Last column: nearest neighbours and their distance in Å.
Positions (direct):
Ca 0.6661 0.3339 0.0000  10 Pr 3.71-3.75, 2 Dy 3.75
Pr 0.6671 0.3329 0.5000  12 Pr 3.71-3.75
Pr 0.1674 0.8326 0.5000  12 Pr 3.71-3.75
Pr 0.1661 0.3367 0.0000  8 Pr 3.65-3.77, 2 Dy 3.71-3.77, 2 Ca 3.73-3.75
Pr 0.1668 0.3342 0.5000  12 Pr 3.68-3.76
Pr 0.6633 0.8339 0.0000  8 Pr 3.65-3.77, 2 Dy 3.71-3.77, 2 Ca 3.73-3.75
Pr 0.6658 0.8332 0.5000  12 Pr 3.68-3.76
Pr 0.3285 0.1633 0.7512  10 Pr 3.68-3.81, 1 Dy 3.68, 1 Ca 3.71
Pr 0.3285 0.1633 0.2488  10 Pr 3.68-3.81, 1 Dy 3.68, 1 Ca 3.71
Pr 0.8367 0.6715 0.7512  10 Pr 3.68-3.81, 1 Dy 3.68, 1 Ca 3.71
Pr 0.8367 0.6715 0.2488  10 Pr 3.68-3.81, 1 Dy 3.68, 1 Ca 3.71
Pr 0.8366 0.1635 0.7487  11 Pr 3.68-3.80, 1 Ca 3.74
Pr 0.8366 0.1635 0.2513  11 Pr 3.68-3.80, 1 Ca 3.74
Pr 0.3336 0.6664 0.7539  11 Pr 3.65-3.75, 1 Dy 3.66
Pr 0.3336 0.6664 0.2461  11 Pr 3.65-3.75, 1 Dy 3.66
Dy 0.1668 0.8332 0.0000  10 Pr 3.66-3.77, 2 Ca 3.75

A plane-wave DFT calculation with PBE was carried out for CsNaPuBr6 after structural relaxation.

Values from the calculation:
DOS at the Fermi energy   0.532 states/eV per atom
Symmetry   P-31c
Raw formation energy   -1.50 eV/atom
Total energy   -4.450 eV per atom

a b c (Å): 7.5728 7.5728 16.0018
angles (deg): 90.00 90.00 120.00
Last column: nearest neighbours and their distance in Å.
Positions (direct):
Cs 0.0000 0.0000 0.0000  6 Br 3.68
Cs 0.0000 0.0000 0.5000  6 Br 3.68
Na 0.3333 0.6667 0.2500  6 Br 3.02
Na 0.6667 0.3333 0.7500  6 Br 3.02
Pu 0.6667 0.3333 0.2500  6 Br 2.77
Pu 0.3333 0.6667 0.7500  6 Br 2.77
Br 0.6439 0.6196 0.1493  1 Pu 2.77, 1 Na 3.02
Br 0.9757 0.3561 0.1493  1 Pu 2.77, 1 Na 3.02
Br 0.3561 0.9757 0.6493  1 Pu 2.77, 1 Na 3.02
Br 0.0243 0.6439 0.8507  1 Pu 2.77, 1 Na 3.02
Br 0.3804 0.3561 0.3507  1 Pu 2.77, 1 Na 3.02
Br 0.9757 0.6196 0.3507  1 Pu 2.77, 1 Na 3.02
Br 0.6196 0.9757 0.8507  1 Pu 2.77, 1 Na 3.02
Br 0.6439 0.0243 0.3507  1 Pu 2.77, 1 Na 3.02
Br 0.0243 0.3804 0.6493  1 Pu 2.77, 1 Na 3.02
Br 0.3804 0.0243 0.1493  1 Pu 2.77, 1 Na 3.02
Br 0.6196 0.6439 0.6493  1 Pu 2.77, 1 Na 3.02
Br 0.3561 0.3804 0.8507  1 Pu 2.77, 1 Na 3.02

A plane-wave DFT calculation with PBE was carried out for La2PaP3 after structural relaxation.

Values from the calculation:
DOS at the Fermi energy   0.752 states/eV per atom
Symmetry   Fddd
Formation energy   -8.917 eV/f.u.
Total energy   -7.416 eV per atom

a b c (Å): 7.2059 7.2059 13.1156
angles (deg): 100.58 100.58 109.36
Last column: nearest neighbours and their distance in Å.
Positions (direct):
La 0.9981 0.4981 0.9963  6 P 2.94-3.03
La 0.4180 0.4180 0.8361  6 P 2.96-3.06
La 0.8320 0.3320 0.6639  6 P 2.96-3.06
La 0.2519 0.2519 0.5037  6 P 2.94-3.03
La 0.7481 0.7481 0.4963  6 P 2.94-3.03
La 0.6680 0.1680 0.3361  6 P 2.96-3.06
La 0.5820 0.5820 0.1639  6 P 2.96-3.06
La 0.5019 0.0019 0.0037  6 P 2.94-3.03
Pa 0.9164 0.9164 0.8328  6 P 2.81-2.83
Pa 0.3336 0.8336 0.6672  6 P 2.81-2.83
Pa 0.1664 0.6664 0.3328  6 P 2.81-2.83
Pa 0.0836 0.0836 0.1672  6 P 2.81-2.83
P 0.1631 0.6827 0.8259  2 Pa 2.81-2.83, 4 La 2.96-3.06
P 0.6628 0.1433 0.8259  2 Pa 2.81-2.83, 4 La 2.96-3.06
P 0.0869 0.0673 0.6741  2 Pa 2.81-2.83, 4 La 2.96-3.06
P 0.5872 0.6067 0.6741  2 Pa 2.81-2.83, 4 La 2.96-3.06
P 0.0201 0.5201 0.5000  2 Pa 2.83, 4 La 2.94-3.04
P 0.4799 0.9799 0.5000  2 Pa 2.83, 4 La 2.94-3.04
P 0.3933 0.4128 0.3259  2 Pa 2.81-2.83, 4 La 2.96-3.06
P 0.9327 0.9131 0.3259  2 Pa 2.81-2.83, 4 La 2.96-3.06
P 0.8567 0.3372 0.1741  2 Pa 2.81-2.83, 4 La 2.96-3.06
P 0.3173 0.8369 0.1741  2 Pa 2.81-2.83, 4 La 2.96-3.06
P 0.2299 0.2299 0.0000  2 Pa 2.83, 4 La 2.94-3.04
P 0.7701 0.7701 0.0000  2 Pa 2.83, 4 La 2.94-3.04

A plane-wave DFT calculation with PBE was carried out for YZr2Co after structural relaxation.

Values from the calculation:
DOS at the Fermi energy   0.712 states/eV per atom
Symmetry   R3m
Formation energy   0.352 eV/f.u.
Total energy   -7.579 eV per atom

a b c (Å): 9.2723 9.2723 9.2723
angles (deg): 20.83 20.83 20.83
Last column: nearest neighbours and their distance in Å.
Positions (direct):
Co 0.5057 0.5057 0.5057  3 Zr 2.55, 3 Y 2.77
Y 0.7663 0.7663 0.7663  3 Co 2.77
Zr 0.9947 0.9947 0.9947  9 Zr 3.23-3.35, 3 Y 3.45
Zr 0.2332 0.2332 0.2332  3 Co 2.55

A plane-wave DFT calculation with PBE was carried out for MgZn3Au after structural relaxation.

Values from the calculation:
DOS at the Fermi energy   0.270 states/eV per atom
Symmetry   P2_1/m
Formation energy   -1.008 eV/f.u.
Total energy   -1.940 eV per atom

a b c (Å): 5.0629 5.1892 7.1024
angles (deg): 90.00 112.11 90.00
Last column: nearest neighbours and their distance in Å.
Positions (direct):
Mg 0.7362 0.9476 0.9211  4 Au 2.70-2.89
Mg 0.2981 0.4476 0.6395  4 Au 2.70-2.89
Zn 0.8680 0.4476 0.1891  1 Au 2.64, 6 Zn 2.69-2.91
Zn 0.1663 0.9476 0.3715  1 Au 2.64, 6 Zn 2.69-2.91
Zn 0.7135 0.1964 0.4624  4 Zn 2.58-2.69, 2 Au 2.69-2.71
Zn 0.7135 0.6988 0.4624  4 Zn 2.58-2.69, 2 Au 2.69-2.71
Zn 0.3208 0.6965 0.0981  4 Zn 2.58-2.69, 2 Au 2.69-2.71
Zn 0.3208 0.1988 0.0981  4 Zn 2.58-2.69, 2 Au 2.69-2.71
Au 0.8725 0.4476 0.8191  5 Zn 2.64-2.71, 4 Mg 2.70-2.89
Au 0.1618 0.9476 0.7415  5 Zn 2.64-2.71, 4 Mg 2.70-2.89